Record 1
Compound: Hg2IrAu
Source: Alexandria via LeMat-Bulk
Functional: PBE-GGA
Structure: optimized geometry

Cell: 5.0514 5.0514 5.0514 Å, 129.78 129.78 73.76°
Closest atoms and distances in Å follow each position.
Sites, in units of the cell vectors:
Hg 0.5000 0.5000 0.0000  4 Ir 2.95, 4 Au 2.95, 4 Hg 3.03
Hg 0.0000 0.0000 0.0000  4 Ir 2.95, 4 Au 2.95, 4 Hg 3.03
Au 0.7500 0.2500 0.5000  8 Hg 2.95, 4 Ir 3.03
Ir 0.2500 0.7500 0.5000  8 Hg 2.95, 4 Au 3.03

---

Record 2
Compound: Hg2IrAu
Source: Alexandria via LeMat-Bulk
Functional: PBE-GGA
Structure: optimized geometry

Cell: 6.7400 6.7400 6.7400 Å, 154.67 139.88 48.05°
Closest atoms and distances in Å follow each position.
Sites, in units of the cell vectors:
Hg 0.0056 0.0056 0.0000  4 Ir 2.74, 2 Hg 2.96
Ir 0.5000 0.5000 0.0000  6 Hg 2.74-2.84, 2 Au 2.78, 2 Ir 2.96
Hg 0.3029 0.8029 0.5000  2 Ir 2.84, 2 Hg 2.96, 4 Au 3.07
Au 0.6916 0.1916 0.5000  2 Ir 2.78, 2 Au 2.96, 4 Hg 3.07

---

Record 3
Compound: Hg2IrAu
Source: Alexandria via LeMat-Bulk
Functional: PBE-GGA
Structure: optimized geometry

Cell: 4.7279 4.7279 4.7279 Å, 60.00 60.00 60.00°
Closest atoms and distances in Å follow each position.
Sites, in units of the cell vectors:
Hg 0.2500 0.2500 0.2500  4 Ir 2.90, 4 Au 2.90
Hg 0.7500 0.7500 0.7500  4 Ir 2.90, 4 Au 2.90
Au 0.5000 0.5000 0.5000  8 Hg 2.90
Ir 0.0000 0.0000 0.0000  8 Hg 2.90

---

Record 4
Compound: Hg2IrAu
Source: Alexandria via LeMat-Bulk
Functional: PBE-GGA
Structure: optimized geometry

Cell: 9.5699 9.5699 9.5699 Å, 18.23 18.23 18.23°
Closest atoms and distances in Å follow each position.
Sites, in units of the cell vectors:
Au 0.2500 0.2500 0.2500  6 Hg 3.00, 6 Au 3.03
Ir 0.7500 0.7500 0.7500  6 Hg 2.86, 6 Ir 3.03
Hg 0.0032 0.0032 0.0032  3 Ir 2.86, 3 Au 3.00, 6 Hg 3.03
Hg 0.4968 0.4968 0.4968  3 Ir 2.86, 3 Au 3.00, 6 Hg 3.03

---

Record 5
Compound: Hg2IrAu
Source: Alexandria via LeMat-Bulk
Functional: PBE-GGA
Structure: optimized geometry

Cell: 4.7316 4.7316 4.7316 Å, 60.00 60.00 60.00°
Closest atoms and distances in Å follow each position.
Sites, in units of the cell vectors:
Hg 0.2500 0.2500 0.2500  4 Au 2.90, 4 Hg 2.90
Ir 0.7500 0.7500 0.7500  4 Hg 2.90, 4 Au 2.90
Au 0.5000 0.5000 0.5000  4 Ir 2.90, 4 Hg 2.90
Hg 0.0000 0.0000 0.0000  4 Ir 2.90, 4 Hg 2.90

---

Record 6
Compound: Hg2IrAu
Source: Alexandria via LeMat-Bulk
Functional: PBE-GGA
Structure: optimized geometry

Cell: 4.9306 4.9306 5.2661 Å, 78.82 78.82 37.03°
Closest atoms and distances in Å follow each position.
Sites, in units of the cell vectors:
Ir 0.7500 0.7500 0.7500  6 Hg 2.85-2.92, 4 Au 3.06, 2 Ir 3.13
Hg 0.0050 0.0050 0.9915  3 Ir 2.85-2.92, 3 Au 2.89-2.94, 6 Hg 3.00-3.13
Au 0.2500 0.2500 0.2500  6 Hg 2.89-2.94, 4 Ir 3.06, 2 Au 3.13
Hg 0.4950 0.4950 0.5085  3 Ir 2.85-2.92, 3 Au 2.89-2.94, 6 Hg 3.00-3.13

---

| no. | calculated formation energy (eV/atom) | raw total energy (eV/cell) |
| --- | --- | --- |
| 1 | 0.390 | -11.183 |
| 2 | 0.324 | -11.446 |
| 3 | 0.436 | -11.000 |
| 4 | 0.363 | -11.289 |
| 5 | 0.490 | -10.780 |
| 6 | 0.408 | -11.110 |